LaScAgRu | the Alexandria database | PBE | optimized geometry; space-group type = F-43m (216); mass density = 7.5 g/cm3; formation energy = -215 meV per atom; total magnetic moment = 0.00 μB/cell
1.0
0.0000 3.5100 3.5100
3.5100 0.0000 3.5100
3.5100 3.5100 0.0000
La Sc Ag Ru
1 1 1 1
Cartesian
0.0000 0.0000 0.0000
3.5100 3.5100 3.5100
5.2651 5.2651 5.2651
1.7550 1.7550 1.7550